DFT (PBE) results for an optimized crystal structure of KBeIr2.

```
data_KBeIr2
_cell_length_a 2.7335
_cell_length_b 4.8373
_cell_length_c 4.9069
_cell_angle_alpha 90.00
_cell_angle_beta 90.00
_cell_angle_gamma 90.00
_space_group_name_H-M_alt 'P 1'
_space_group_IT_number 1
loop_
_space_group_symop_operation_xyz
'x,y,z'
loop_
_atom_site_label
_atom_site_type_symbol
_atom_site_fract_x
_atom_site_fract_y
_atom_site_fract_z
Be1 Be 0.0000 0.5000 0.5000
K1 K 0.5000 0.0000 0.5000
Ir1 Ir 0.0000 0.0000 0.0000
Ir2 Ir 0.5000 0.5000 0.0000
```

Computed properties:
Total energy = -18.9 eV/f.u.
Formation energy = 0.920 eV per atom
Space group = Pmmm, No. 47

=====

DFT (PBE) results for an optimized crystal structure of SmDyThHg.

```
data_SmDyThHg
_cell_length_a 5.4659
_cell_length_b 5.4659
_cell_length_c 5.4659
_cell_angle_alpha 60.00
_cell_angle_beta 60.00
_cell_angle_gamma 60.00
_space_group_name_H-M_alt 'P 1'
_space_group_IT_number 1
loop_
_space_group_symop_operation_xyz
'x,y,z'
loop_
_atom_site_label
_atom_site_type_symbol
_atom_site_fract_x
_atom_site_fract_y
_atom_site_fract_z
Sm1 Sm 0.5000 0.5000 0.5000
Hg1 Hg 0.2500 0.2500 0.2500
Th1 Th 0.7500 0.7500 0.7500
Dy1 Dy 0.0000 0.0000 0.0000
```

Computed properties:
Total energy = -16.8 eV/f.u.
Formation energy = 0.057 eV per atom
Space group = F-43m, No. 216

=====

DFT (PBE) results for an optimized crystal structure of PaTa3N6.

```
data_PaTa3N6
_cell_length_a 3.1538
_cell_length_b 8.8981
_cell_length_c 8.7484
_cell_angle_alpha 108.14
_cell_angle_beta 90.00
_cell_angle_gamma 90.00
_space_group_name_H-M_alt 'P 1'
_space_group_IT_number 1
loop_
_space_group_symop_operation_xyz
'x,y,z'
loop_
_atom_site_label
_atom_site_type_symbol
_atom_site_fract_x
_atom_site_fract_y
_atom_site_fract_z
Pa1 Pa 0.2500 0.3018 0.9386
Pa2 Pa 0.7500 0.6982 0.0614
Ta1 Ta 0.2500 0.1710 0.5486
Ta2 Ta 0.7500 0.8290 0.4514
Ta3 Ta 0.2500 0.4903 0.3224
Ta4 Ta 0.7500 0.5097 0.6776
Ta5 Ta 0.2500 0.9097 0.8342
Ta6 Ta 0.7500 0.0903 0.1658
N1 N 0.2500 0.3891 0.5194
N2 N 0.7500 0.6109 0.4806
N3 N 0.2500 0.9129 0.0797
N4 N 0.7500 0.0871 0.9203
N5 N 0.2500 0.9467 0.6111
N6 N 0.7500 0.0533 0.3889
N7 N 0.2500 0.7371 0.2866
N8 N 0.7500 0.2629 0.7134
N9 N 0.2500 0.5353 0.8676
N10 N 0.7500 0.4647 0.1324
N11 N 0.2500 0.2477 0.1981
N12 N 0.7500 0.7523 0.8019
```

Computed properties:
Total energy = -106.9 eV/f.u.
Uncorrected formation energy = -1191 meV per atom
Space group = P2_1/m, No. 11

=====

DFT (PBE) results for an optimized crystal structure of Ca2Nb2O7.

```
data_Ca2Nb2O7
_cell_length_a 7.4826
_cell_length_b 7.4826
_cell_length_c 7.4826
_cell_angle_alpha 60.00
_cell_angle_beta 60.00
_cell_angle_gamma 60.00
_space_group_name_H-M_alt 'P 1'
_space_group_IT_number 1
loop_
_space_group_symop_operation_xyz
'x,y,z'
loop_
_atom_site_label
_atom_site_type_symbol
_atom_site_fract_x
_atom_site_fract_y
_atom_site_fract_z
Ca1 Ca 0.1250 0.6250 0.1250
Ca2 Ca 0.1250 0.1250 0.6250
Ca3 Ca 0.6250 0.1250 0.1250
Ca4 Ca 0.1250 0.1250 0.1250
Nb1 Nb 0.6250 0.1250 0.6250
Nb2 Nb 0.6250 0.6250 0.1250
Nb3 Nb 0.1250 0.6250 0.6250
Nb4 Nb 0.6250 0.6250 0.6250
O1 O 0.0000 0.0000 0.0000
O2 O 0.2500 0.2500 0.2500
O3 O 0.3074 0.3074 0.6926
O4 O 0.5574 0.5574 0.9426
O5 O 0.6926 0.3074 0.6926
O6 O 0.6926 0.3074 0.3074
O7 O 0.3074 0.6926 0.6926
O8 O 0.3074 0.6926 0.3074
O9 O 0.6926 0.6926 0.3074
O10 O 0.9426 0.5574 0.5574
O11 O 0.5574 0.9426 0.9426
O12 O 0.9426 0.9426 0.5574
O13 O 0.9426 0.5574 0.9426
O14 O 0.5574 0.9426 0.5574
```

Computed properties:
Total energy = -89.8 eV/f.u.
Uncorrected formation energy = -2818 meV per atom
Space group = Fd-3m, No. 227

=====

DFT (PBE) results for an optimized crystal structure of RbTa2GaPt.

```
data_RbTa2GaPt
_cell_length_a 4.9956
_cell_length_b 4.9087
_cell_length_c 4.9956
_cell_angle_alpha 90.00
_cell_angle_beta 90.00
_cell_angle_gamma 90.00
_space_group_name_H-M_alt 'P 1'
_space_group_IT_number 1
loop_
_space_group_symop_operation_xyz
'x,y,z'
loop_
_atom_site_label
_atom_site_type_symbol
_atom_site_fract_x
_atom_site_fract_y
_atom_site_fract_z
Ga1 Ga 0.0000 0.0000 0.0000
Rb1 Rb 0.5000 0.5000 0.5000
Pt1 Pt 0.0000 0.5000 0.0000
Ta1 Ta 0.0000 0.0000 0.5000
Ta2 Ta 0.5000 0.0000 0.0000
```

Computed properties:
Total energy = -26.7 eV/f.u.
Formation energy = 1.407 eV per atom
Space group = P4/mmm, No. 123

=====

DFT (PBE) results for an optimized crystal structure of Sc4ZnGaPt2.

```
data_Sc4ZnGaPt2
_cell_length_a 4.6976
_cell_length_b 4.6976
_cell_length_c 8.1539
_cell_angle_alpha 73.26
_cell_angle_beta 73.26
_cell_angle_gamma 60.00
_space_group_name_H-M_alt 'P 1'
_space_group_IT_number 1
loop_
_space_group_symop_operation_xyz
'x,y,z'
loop_
_atom_site_label
_atom_site_type_symbol
_atom_site_fract_x
_atom_site_fract_y
_atom_site_fract_z
Sc1 Sc 0.3746 0.3746 0.8761
Sc2 Sc 0.8755 0.8755 0.3736
Sc3 Sc 0.1245 0.1245 0.6264
Sc4 Sc 0.6254 0.6254 0.1239
Zn1 Zn 0.0000 0.0000 0.0000
Ga1 Ga 0.5000 0.5000 0.5000
Pt1 Pt 0.7491 0.7491 0.7528
Pt2 Pt 0.2509 0.2509 0.2472
```

Computed properties:
Total energy = -48.7 eV/f.u.
Formation energy = -0.876 eV per atom
Space group = R-3m, No. 166

=====

DFT (PBE) results for an optimized crystal structure of Ca2PmZn2Ge2.

```
data_Ca2PmZn2Ge2
_cell_length_a 4.2331
_cell_length_b 4.2331
_cell_length_c 11.9152
_cell_angle_alpha 79.77
_cell_angle_beta 79.77
_cell_angle_gamma 60.00
_space_group_name_H-M_alt 'P 1'
_space_group_IT_number 1
loop_
_space_group_symop_operation_xyz
'x,y,z'
loop_
_atom_site_label
_atom_site_type_symbol
_atom_site_fract_x
_atom_site_fract_y
_atom_site_fract_z
Ca1 Ca 0.1194 0.1194 0.6419
Ca2 Ca 0.8806 0.8806 0.3581
Pm1 Pm 0.0000 0.0000 0.0000
Zn1 Zn 0.6083 0.6083 0.1752
Zn2 Zn 0.3917 0.3917 0.8248
Ge1 Ge 0.7262 0.7262 0.8215
Ge2 Ge 0.2738 0.2738 0.1785
```

Computed properties:
Total energy = -24.0 eV/f.u.
Formation energy = -0.497 eV per atom
Space group = R-3m, No. 166

=====

DFT (PBE) results for an optimized crystal structure of NpZn3O6.

```
data_NpZn3O6
_cell_length_a 6.2839
_cell_length_b 6.2839
_cell_length_c 6.2839
_cell_angle_alpha 91.02
_cell_angle_beta 91.02
_cell_angle_gamma 91.02
_space_group_name_H-M_alt 'P 1'
_space_group_IT_number 1
loop_
_space_group_symop_operation_xyz
'x,y,z'
loop_
_atom_site_label
_atom_site_type_symbol
_atom_site_fract_x
_atom_site_fract_y
_atom_site_fract_z
Np1 Np 0.0000 0.0000 0.0000
Np2 Np 0.5000 0.5000 0.5000
Zn1 Zn 0.4413 0.9403 0.7553
Zn2 Zn 0.9403 0.7553 0.4413
Zn3 Zn 0.2447 0.5587 0.0597
Zn4 Zn 0.7553 0.4413 0.9403
Zn5 Zn 0.0597 0.2447 0.5587
Zn6 Zn 0.5587 0.0597 0.2447
O1 O 0.3106 0.9254 0.0817
O2 O 0.0746 0.9183 0.6894
O3 O 0.6102 0.8080 0.4420
O4 O 0.9183 0.6894 0.0746
O5 O 0.4420 0.6102 0.8080
O6 O 0.1920 0.5580 0.3898
O7 O 0.8080 0.4420 0.6102
O8 O 0.5580 0.3898 0.1920
O9 O 0.0817 0.3106 0.9254
O10 O 0.3898 0.1920 0.5580
O11 O 0.9254 0.0817 0.3106
O12 O 0.6894 0.0746 0.9183
```

Computed properties:
Total energy = -65.1 eV/f.u.
Uncorrected formation energy = -1861 meV per atom
Space group = R-3, No. 148

=====

DFT (PBE) results for an optimized crystal structure of Ti3PdAu.

```
data_Ti3PdAu
_cell_length_a 4.7289
_cell_length_b 4.7289
_cell_length_c 4.7289
_cell_angle_alpha 90.00
_cell_angle_beta 90.00
_cell_angle_gamma 90.00
_space_group_name_H-M_alt 'P 1'
_space_group_IT_number 1
loop_
_space_group_symop_operation_xyz
'x,y,z'
loop_
_atom_site_label
_atom_site_type_symbol
_atom_site_fract_x
_atom_site_fract_y
_atom_site_fract_z
Au1 Au 0.5000 0.5000 0.5000
Pd1 Pd 0.0000 0.0000 0.0000
Ti1 Ti 0.0000 0.5000 0.0000
Ti2 Ti 0.0000 0.0000 0.5000
Ti3 Ti 0.5000 0.0000 0.0000
```

Computed properties:
Total energy = -29.6 eV/f.u.
Offset from the most stable computed form = 458 meV per atom
Formation energy = 0.512 eV per atom
Space group = Pm-3m, No. 221

=====

DFT (PBE) results for an optimized crystal structure of BaMg6Zn3.

```
data_BaMg6Zn3
_cell_length_a 4.6305
_cell_length_b 8.4636
_cell_length_c 12.2594
_cell_angle_alpha 79.70
_cell_angle_beta 90.00
_cell_angle_gamma 90.00
_space_group_name_H-M_alt 'P 1'
_space_group_IT_number 1
loop_
_space_group_symop_operation_xyz
'x,y,z'
loop_
_atom_site_label
_atom_site_type_symbol
_atom_site_fract_x
_atom_site_fract_y
_atom_site_fract_z
Ba1 Ba 0.7500 0.0560 0.7634
Ba2 Ba 0.2500 0.9440 0.2366
Mg1 Mg 0.7500 0.3987 0.5344
Mg2 Mg 0.2500 0.6013 0.4656
Mg3 Mg 0.7500 0.7221 0.0215
Mg4 Mg 0.2500 0.2779 0.9785
Mg5 Mg 0.7500 0.3304 0.1416
Mg6 Mg 0.2500 0.6696 0.8584
Mg7 Mg 0.7500 0.5953 0.2791
Mg8 Mg 0.2500 0.4047 0.7209
Mg9 Mg 0.7500 0.1100 0.4330
Mg10 Mg 0.2500 0.8900 0.5670
Mg11 Mg 0.7500 0.6591 0.6767
Mg12 Mg 0.2500 0.3409 0.3233
Zn1 Zn 0.7500 0.4424 0.8775
Zn2 Zn 0.2500 0.5576 0.1225
Zn3 Zn 0.7500 0.7809 0.4501
Zn4 Zn 0.2500 0.2191 0.5499
Zn5 Zn 0.7500 0.0668 0.0329
Zn6 Zn 0.2500 0.9332 0.9671
```

Computed properties:
Total energy = -16.2 eV/f.u.
Formation energy = -0.093 eV per atom
Space group = P2_1/m, No. 11

=====

DFT (PBE) results for an optimized crystal structure of KCd2Tc.

```
data_KCd2Tc
_cell_length_a 2.8891
_cell_length_b 2.8891
_cell_length_c 10.7511
_cell_angle_alpha 90.00
_cell_angle_beta 90.00
_cell_angle_gamma 101.80
_space_group_name_H-M_alt 'P 1'
_space_group_IT_number 1
loop_
_space_group_symop_operation_xyz
'x,y,z'
loop_
_atom_site_label
_atom_site_type_symbol
_atom_site_fract_x
_atom_site_fract_y
_atom_site_fract_z
Cd1 Cd 0.0000 0.0000 0.9799
Cd2 Cd 0.5000 0.5000 0.2276
K1 K 0.0000 0.0000 0.5157
Tc1 Tc 0.5000 0.5000 0.7768
```

Computed properties:
Total energy = -10.7 eV/f.u.
Offset from the most stable computed form = 147 meV per atom
Formation energy = 0.643 eV per atom
Space group = Cmm2, No. 35

=====

DFT (PBE) results for an optimized crystal structure of AcEuHgGe.

```
data_AcEuHgGe
_cell_length_a 5.5267
_cell_length_b 5.5267
_cell_length_c 5.5267
_cell_angle_alpha 60.00
_cell_angle_beta 60.00
_cell_angle_gamma 60.00
_space_group_name_H-M_alt 'P 1'
_space_group_IT_number 1
loop_
_space_group_symop_operation_xyz
'x,y,z'
loop_
_atom_site_label
_atom_site_type_symbol
_atom_site_fract_x
_atom_site_fract_y
_atom_site_fract_z
Eu1 Eu 0.0000 0.0000 0.0000
Ac1 Ac 0.5000 0.5000 0.5000
Ge1 Ge 0.2500 0.2500 0.2500
Hg1 Hg 0.7500 0.7500 0.7500
```

Computed properties:
Total energy = -21.5 eV/f.u.
Formation energy = -0.554 eV per atom
Space group = F-43m, No. 216

=====

Please write out number 8 again, unchanged.
DFT (PBE) results for an optimized crystal structure of NpZn3O6.

```
data_NpZn3O6
_cell_length_a 6.2839
_cell_length_b 6.2839
_cell_length_c 6.2839
_cell_angle_alpha 91.02
_cell_angle_beta 91.02
_cell_angle_gamma 91.02
_space_group_name_H-M_alt 'P 1'
_space_group_IT_number 1
loop_
_space_group_symop_operation_xyz
'x,y,z'
loop_
_atom_site_label
_atom_site_type_symbol
_atom_site_fract_x
_atom_site_fract_y
_atom_site_fract_z
Np1 Np 0.0000 0.0000 0.0000
Np2 Np 0.5000 0.5000 0.5000
Zn1 Zn 0.4413 0.9403 0.7553
Zn2 Zn 0.9403 0.7553 0.4413
Zn3 Zn 0.2447 0.5587 0.0597
Zn4 Zn 0.7553 0.4413 0.9403
Zn5 Zn 0.0597 0.2447 0.5587
Zn6 Zn 0.5587 0.0597 0.2447
O1 O 0.3106 0.9254 0.0817
O2 O 0.0746 0.9183 0.6894
O3 O 0.6102 0.8080 0.4420
O4 O 0.9183 0.6894 0.0746
O5 O 0.4420 0.6102 0.8080
O6 O 0.1920 0.5580 0.3898
O7 O 0.8080 0.4420 0.6102
O8 O 0.5580 0.3898 0.1920
O9 O 0.0817 0.3106 0.9254
O10 O 0.3898 0.1920 0.5580
O11 O 0.9254 0.0817 0.3106
O12 O 0.6894 0.0746 0.9183
```

Computed properties:
Total energy = -65.1 eV/f.u.
Uncorrected formation energy = -1861 meV per atom
Space group = R-3, No. 148

=====

- Among the records above, which one has the highest total energy?
  KCd2Tc